This record from the Alexandria database describes a relaxed Nb3CrSe6 crystal. The functional is PBE.

Uncorrected energy ... -6.562 eV per atom
Total magnetization ... 2.27 μB per formula unit
E_form (uncorrected) ... -0.488 eV per atom

a = 10.574 Å, b = 13.028 Å, c = 6.212 Å
α = 90.00°, β = 90.00°, γ = 90.00°
Space group Cmc2_1 (No. 36)
One atom of each set of equivalent atoms:
1 Nb 0.000 0.092 0.000 x4
2 Nb 0.137 0.367 0.003 x8
3 Cr 0.000 0.276 0.317 x4
4 Se 0.000 0.269 0.726 x4
5 Se 0.000 0.461 0.290 x4
6 Se 0.154 0.048 0.669 x8
7 Se 0.188 0.195 0.188 x8

This record from the Alexandria database describes a relaxed LaMgRu crystal. The functional is PBE.

Uncorrected energy ... -5.263 eV per atom
Total magnetization ... 0.00 μB per formula unit
ΔH_f (0 K) ... 0.003 eV/atom

a = 6.685 Å, b = 6.685 Å, c = 6.685 Å
α = 90.00°, β = 90.00°, γ = 90.00°
Space group F-43m (No. 216)
One atom of each set of equivalent atoms:
1 La 0.000 0.000 0.000 x4
2 Mg 0.000 0.000 0.500 x4
3 Ru 0.250 0.250 0.750 x4

This record from the Alexandria database describes a relaxed HgPPd crystal. The functional is PBE.

Uncorrected energy ... -3.663 eV per atom
Total magnetization ... 0.00 μB per formula unit
ΔH_f (0 K) ... -0.028 eV/atom

a = 5.861 Å, b = 6.549 Å, c = 6.584 Å
α = 90.00°, β = 114.01°, γ = 90.00°
Space group P2_1/c (No. 14)
One atom of each set of equivalent atoms:
1 Hg 0.162 0.141 0.370 x4
2 P 0.351 0.616 0.213 x4
3 Pd 0.283 0.552 0.540 x4

Number 1: mass density 6.244 g/cm3. Number 2: mass density 5.876 g/cm3. Number 3: mass density 9.724 g/cm3.